Material: KMg2TiV
Method: DFT, PBE-GGA
State: optimized geometry

Lattice parameters (Å, degrees): 4.9638 4.9638 4.7915 90.00 90.00 90.00
Closest atoms and distances in Å follow each position.
Positions (direct):
K1 0.0000 0.0000 0.0000  2 Ti 2.40, 4 Mg 2.48
Mg1 0.0000 0.5000 0.0000  2 K 2.48
Mg2 0.5000 0.0000 0.0000  2 K 2.48
Ti1 0.0000 0.0000 0.5000  2 K 2.40
V1 0.5000 0.5000 0.5000  8 Mg 3.45, 4 Ti 3.51

- Crystal system: tetragonal
- Symmetry: P4/mmm
- Total magnetization: 1.7 μB per formula unit
- Formation energy: 2046 meV/atom

Material: PmTiBeN3
Method: DFT, PBE-GGA
State: optimized geometry

Lattice parameters (Å, degrees): 6.6451 3.1354 6.8098 90.00 105.86 90.00
Closest atoms and distances in Å follow each position.
Positions (direct):
Pm1 0.2014 0.2500 0.2340  7 N 2.43-2.62
Pm2 0.7986 0.7500 0.7660  7 N 2.43-2.62
Ti1 0.3330 0.7500 0.8474  6 N 2.05-2.14
Ti2 0.6670 0.2500 0.1526  6 N 2.05-2.14
Be1 0.0891 0.2500 0.6004  4 N 1.70-1.80
Be2 0.9109 0.7500 0.3996  4 N 1.70-1.80
N1 0.1268 0.2500 0.8583  1 Be 1.70
N2 0.1790 0.7500 0.5268  3 Be 1.76-1.80
N3 0.4493 0.7500 0.1583  3 Ti 2.05-2.14
N4 0.5507 0.2500 0.8417  3 Ti 2.05-2.14
N5 0.8210 0.2500 0.4732  3 Be 1.76-1.80
N6 0.8732 0.7500 0.1417  1 Be 1.70

- Crystal system: monoclinic
- Symmetry: P2_1/m
- Total magnetization: 0.0 μB per formula unit
- Formation energy (no corrections): -1.320 eV per atom

Material: La6NdSm4
Method: DFT, PBE-GGA
State: optimized geometry

Lattice parameters (Å, degrees): 5.7940 5.7940 26.3767 90.00 90.00 117.28
Closest atoms and distances in Å follow each position.
Positions (direct):
La1 0.0000 0.0000 0.0000  8 Sm 3.31-3.67
La2 0.0000 0.0000 0.5000  8 Sm 3.31-3.67
La3 0.0594 0.9406 0.7500  2 Sm 3.33, 3 Nd 3.39-3.40, 2 La 3.68
La4 0.2947 0.7053 0.1009  6 Sm 3.43-3.80, 1 La 3.83
La5 0.2947 0.7053 0.3991  6 Sm 3.43-3.80, 1 La 3.83
La6 0.3848 0.6152 0.6820  5 La 3.59-3.91, 4 Sm 3.63-3.77, 3 Nd 3.75-3.88
La7 0.3848 0.6152 0.8180  5 La 3.59-3.91, 4 Sm 3.63-3.77, 3 Nd 3.75-3.88
La8 0.6152 0.3848 0.1820  5 La 3.59-3.91, 4 Sm 3.63-3.77, 3 Nd 3.75-3.88
La9 0.6152 0.3848 0.3180  5 La 3.59-3.91, 4 Sm 3.63-3.77, 3 Nd 3.75-3.88
La10 0.7053 0.2947 0.6009  6 Sm 3.43-3.80, 1 La 3.83
La11 0.7053 0.2947 0.8991  6 Sm 3.43-3.80, 1 La 3.83
La12 0.9406 0.0594 0.2500  2 Sm 3.33, 3 Nd 3.39-3.40, 2 La 3.68
Nd1 0.2828 0.7172 0.2500  5 La 3.39-3.75
Nd2 0.7172 0.2828 0.7500  5 La 3.39-3.75
Sm1 0.0523 0.9477 0.6239  6 La 3.31-3.63, 1 Sm 3.63
Sm2 0.0523 0.9477 0.8761  6 La 3.31-3.63, 1 Sm 3.63
Sm3 0.3518 0.6482 0.5446  8 La 3.55-3.88, 2 Sm 3.63-3.76
Sm4 0.3518 0.6482 0.9554  8 La 3.55-3.88, 2 Sm 3.63-3.76
Sm5 0.6482 0.3518 0.0446  8 La 3.55-3.88, 2 Sm 3.63-3.76
Sm6 0.6482 0.3518 0.4554  8 La 3.55-3.88, 2 Sm 3.63-3.76
Sm7 0.9477 0.0523 0.1239  6 La 3.31-3.63, 1 Sm 3.63
Sm8 0.9477 0.0523 0.3761  6 La 3.31-3.63, 1 Sm 3.63

- Crystal system: orthorhombic
- Polymorph energy (0 for the lowest one): 0.0 meV/atom
- Symmetry: Cmcm
- Total magnetization: 0.0 μB per formula unit
- Formation energy: 95 meV/atom

Material: CeDyPd
Method: DFT, PBE-GGA
State: optimized geometry

Lattice parameters (Å, degrees): 4.9302 4.9302 4.9302 60.00 60.00 60.00
Closest atoms and distances in Å follow each position.
Positions (direct):
Ce1 0.0000 0.0000 0.0000  4 Pd 3.02
Dy1 0.5000 0.5000 0.5000  4 Pd 3.02
Pd1 0.7500 0.7500 0.7500  4 Dy 3.02, 4 Ce 3.02

- Crystal system: cubic
- Polymorph energy (0 for the lowest one): 129.8 meV/atom
- Symmetry: F-43m
- Total magnetization: 1.2 μB per formula unit
- Formation energy: -303 meV/atom

Material: HfNiSnBr2
Method: DFT, PBE-GGA
State: optimized geometry

Lattice parameters (Å, degrees): 5.1842 5.1842 4.9829 90.00 90.00 90.00
Closest atoms and distances in Å follow each position.
Positions (direct):
Hf1 0.0000 0.0000 0.0000  2 Ni 2.49, 4 Br 2.59
Ni1 0.0000 0.0000 0.5000  2 Hf 2.49
Sn1 0.5000 0.5000 0.5000  8 Br 3.60, 4 Ni 3.67
Br1 0.0000 0.5000 0.0000  2 Hf 2.59
Br2 0.5000 0.0000 0.0000  2 Hf 2.59

- Crystal system: tetragonal
- Symmetry: P4/mmm
- Total magnetization: 0.0 μB per formula unit
- Formation energy (no corrections): 0.197 eV per atom

Material: Tb4Cu2Hg
Method: DFT, PBE-GGA
State: optimized geometry

Lattice parameters (Å, degrees): 9.4919 9.4919 9.4919 29.58 29.58 29.58
Closest atoms and distances in Å follow each position.
Positions (direct):
Tb1 0.1165 0.1165 0.1165  3 Cu 3.09, 3 Hg 3.11
Tb2 0.2969 0.2969 0.2969  4 Cu 2.84-2.93
Tb3 0.7031 0.7031 0.7031  4 Cu 2.84-2.93
Tb4 0.8835 0.8835 0.8835  3 Cu 3.09, 3 Hg 3.11
Cu1 0.4012 0.4012 0.4012  1 Hg 2.69, 4 Tb 2.84-2.93
Cu2 0.5988 0.5988 0.5988  1 Hg 2.69, 4 Tb 2.84-2.93
Hg1 0.5000 0.5000 0.5000  2 Cu 2.69

- Crystal system: trigonal
- Polymorph energy (0 for the lowest one): 90.4 meV/atom
- Symmetry: R-3m
- Total magnetization: 0.0 μB per formula unit
- Formation energy: -73 meV/atom